# 1
Below is a geometry-optimized Li2Ga2Tc structure, with properties calculated at the GGA-PBE level.

```
data_Li2Ga2Tc
_chemical_formula_sum 'Li4 Ga4 Tc2'
_cell_length_a 14.188
_cell_length_b 3.896
_cell_length_c 2.685
_cell_angle_alpha 90.00
_cell_angle_beta 94.59
_cell_angle_gamma 90.00
_symmetry_space_group_name_H-M 'C 1 2/m 1'
_symmetry_Int_Tables_number 12
loop_
_symmetry_equiv_pos_as_xyz
'x,y,z'
'-x,-y,-z'
'-x,y,-z'
'x,-y,z'
'x+1/2,y+1/2,z'
'-x+1/2,-y+1/2,-z'
'-x+1/2,y+1/2,-z'
'x+1/2,-y+1/2,z'
loop_
_atom_site_label
_atom_site_fract_x
_atom_site_fract_y
_atom_site_fract_z
Li1 0.193 0.000 0.135
Ga1 0.099 0.500 0.555
Tc1 0.000 0.000 0.000
```

Values from the calculation:
Calculated formation energy: -0.16 eV/atom

---

# 2
Below is a geometry-optimized Ca2BeS structure, with properties calculated at the GGA-PBE level.

```
data_Ca2BeS
_chemical_formula_sum 'Ca8 Be4 S4'
_cell_length_a 7.067
_cell_length_b 7.067
_cell_length_c 7.067
_cell_angle_alpha 90.00
_cell_angle_beta 90.00
_cell_angle_gamma 90.00
_symmetry_space_group_name_H-M 'F m -3 m'
_symmetry_Int_Tables_number 225
_symmetry_space_group_name_Hall '-F 4 2 3'
loop_
_atom_site_label
_atom_site_fract_x
_atom_site_fract_y
_atom_site_fract_z
Ca1 0.250 0.250 0.250
Be1 0.000 0.000 0.000
S1 0.000 0.000 0.500
```

Values from the calculation:
ΔE_f (raw): -0.32 eV per atom

---

no.,polymorph energy (0 for the lowest one) (meV per atom),magnetization (μB per formula unit),E_tot (eV/atom)
1,0.0,0.000,-4.21
2,92.8,0.000,-3.28